Record 1
Compound: Sc3Tl4AgTe8
Source: the Alexandria database
Functional: GGA-PBE
Structure: relaxed

a = 8.6002 Å, b = 8.6002 Å, c = 23.5298 Å
α = 90.00°, β = 90.00°, γ = 120.00°
With the nearest neighbours (Å) after each atom.
Space group R-3m (No. 166, hexagonal axes)
One atom of each set of equivalent atoms:
Sc1 0.0000 0.5000 0.0000 [9 per cell]  6 Te 2.94-2.97
Tl1 0.0000 0.0000 0.5000 [3 per cell]  6 Te 3.36
Tl2 0.0000 0.5000 0.5000 [9 per cell]  6 Te 3.38-3.40
Ag1 0.0000 0.0000 0.0000 [3 per cell]  6 Te 3.00
Te1 0.0000 0.0000 0.2644 [6 per cell]  3 Sc 2.97
Te2 0.0056 0.5028 0.2647 [18 per cell]  2 Sc 2.94, 1 Ag 3.00

For the energy relative to the elements, uncorrected, the calculation gives -66.8 kJ per mole of atoms.

---

Record 2
Compound: ScTl2AgTe4
Source: the Alexandria database
Functional: GGA-PBE
Structure: relaxed

a = 7.6923 Å, b = 4.2547 Å, c = 7.9324 Å
α = 90.00°, β = 108.47°, γ = 90.00°
With the nearest neighbours (Å) after each atom.
Space group P2/m (No. 10)
One atom of each set of equivalent atoms:
Sc1 0.0000 0.0000 0.0000 [1 per cell]  6 Te 2.92-2.97
Tl1 0.0000 0.5000 0.5000 [1 per cell]  6 Te 3.25-3.34
Tl2 0.5000 0.0000 0.5000 [1 per cell]  6 Te 3.33-3.39
Ag1 0.5000 0.5000 0.0000 [1 per cell]  6 Te 2.93-3.12
Te1 0.2241 0.5000 0.2153 [2 per cell]  2 Sc 2.92, 1 Ag 3.12, 1 Tl 3.25
Te2 0.2641 0.0000 0.7959 [2 per cell]  2 Ag 2.93, 1 Sc 2.97

For the energy relative to the elements, uncorrected, the calculation gives -45.5 kJ per mole of atoms.

---

Record 3
Compound: TmSc2Ag3Te6
Source: the Alexandria database
Functional: GGA-PBE
Structure: relaxed

a = 7.3886 Å, b = 12.8025 Å, c = 7.4340 Å
α = 90.00°, β = 109.26°, γ = 90.00°
With the nearest neighbours (Å) after each atom.
Space group C2/m (No. 12)
One atom of each set of equivalent atoms:
Tm1 0.0000 0.0000 0.0000 [2 per cell]  6 Te 3.06
Sc1 0.0000 0.3321 0.0000 [4 per cell]  6 Te 2.96-2.98
Ag1 0.0000 0.1613 0.5000 [4 per cell]  6 Te 3.04-3.08
Ag2 0.0000 0.5000 0.5000 [2 per cell]  6 Te 2.99-3.08
Te1 0.2377 0.5000 0.2436 [4 per cell]  2 Sc 2.98, 3 Ag 2.99-3.04, 1 Tm 3.06
Te2 0.2475 0.3287 0.7562 [8 per cell]  2 Sc 2.96-2.97, 3 Ag 3.04-3.08, 1 Tm 3.06

For the energy relative to the elements, uncorrected, the calculation gives -71.9 kJ per mole of atoms.